[1]
Compound: Pu2ZnF11
Source: the Alexandria database
Functional: PBE-GGA
Structure: relaxed

Computed properties:
For the density, the calculation gives 5.78 g/cm³. For the raw total energy, the calculation gives -93.03 eV/f.u. The formation energy without anion corrections is -3036 meV/atom.

Lattice parameters (Å, degrees): 8.8527 8.0497 8.5990 70.93 59.02 56.64
Closest atoms and distances in Å follow each position.
Atoms (fractional coordinates):
F 0.5617 0.9796 0.7770  1 Zn 2.03, 1 Pu 2.19
F 0.4383 0.0204 0.2230  1 Zn 2.03, 1 Pu 2.19
F 0.8428 0.7903 0.2296  2 Pu 2.16-2.41
F 0.0000 0.0000 0.0000  2 Pu 2.26, 2 F 2.50
F 0.1233 0.0683 0.1770  1 Zn 2.02, 1 Pu 2.18
F 0.6444 0.3089 0.0482  1 Pu 2.01
F 0.7506 0.6430 0.0295  1 Pu 2.12, 1 Zn 2.14
F 0.8686 0.4317 0.3230  1 Zn 2.02, 1 Pu 2.18
F 0.6373 0.2903 0.7296  2 Pu 2.16-2.41
F 0.8767 0.9317 0.8230  1 Zn 2.02, 1 Pu 2.18
F 0.4986 0.8089 0.5482  1 Pu 2.01
F 0.0769 0.1430 0.5295  1 Pu 2.12, 1 Zn 2.14
F 0.1817 0.4796 0.2770  1 Zn 2.03, 1 Pu 2.19
F 0.8183 0.5204 0.7230  1 Zn 2.03, 1 Pu 2.19
F 0.2494 0.3570 0.9705  1 Pu 2.12, 1 Zn 2.14
F 0.1314 0.5683 0.6770  1 Zn 2.02, 1 Pu 2.18
F 0.5000 0.5000 0.5000  2 Pu 2.26, 2 F 2.50
F 0.3556 0.6911 0.9518  1 Pu 2.01
F 0.3627 0.7097 0.2704  2 Pu 2.16-2.41
F 0.1572 0.2097 0.7704  2 Pu 2.16-2.41
F 0.5014 0.1911 0.4518  1 Pu 2.01
F 0.9231 0.8570 0.4705  1 Pu 2.12, 1 Zn 2.14
Pu 0.1314 0.7869 0.1969  5 F 2.01-2.19
Pu 0.8686 0.2131 0.8031  5 F 2.01-2.19
Pu 0.6152 0.7131 0.3031  5 F 2.01-2.19
Pu 0.3848 0.2869 0.6969  5 F 2.01-2.19
Zn 0.8354 0.7500 0.7500  6 F 2.02-2.14
Zn 0.1646 0.2500 0.2500  6 F 2.02-2.14

---

[2]
Compound: CaRhF
Source: the Alexandria database
Functional: PBE-GGA
Structure: relaxed

Computed properties:
For the density, the calculation gives 4.89 g/cm³. For the raw total energy, the calculation gives -16.77 eV/f.u. The formation energy without anion corrections is -1848 meV/atom.

Lattice parameters (Å, degrees): 8.1703 3.8552 3.7675 75.35 80.16 100.20
Closest atoms and distances in Å follow each position.
Atoms (fractional coordinates):
Rh 0.3762 0.0585 0.4604  3 Rh 2.40-2.42
Rh 0.3762 0.6536 0.0616  3 Rh 2.40-2.42
F 0.9583 0.3570 0.4940  3 Ca 2.36-2.37
F 0.7941 0.7744 0.0755  3 Ca 2.36-2.37
Ca 0.0733 0.1161 0.0124  3 F 2.36-2.37
Ca 0.6790 0.4188 0.7091  3 F 2.36-2.37

---

[3]
Compound: ZrCrBr2
Source: the Alexandria database
Functional: PBE-GGA
Structure: relaxed

Computed properties:
For the density, the calculation gives 5.91 g/cm³. For the raw total energy, the calculation gives -21.42 eV/f.u. The formation energy without anion corrections is 24 meV/atom.

Lattice parameters (Å, degrees): 3.4945 3.4946 6.9709 90.00 90.00 90.00
Closest atoms and distances in Å follow each position.
Atoms (fractional coordinates):
Zr 0.5000 0.5000 0.7500  8 Br 2.94
Br 0.0000 0.0000 0.5206  4 Zr 2.94, 4 Cr 3.11, 1 Br 3.20
Br 0.0000 0.0000 0.9794  4 Zr 2.94, 4 Cr 3.11, 1 Br 3.20
Cr 0.5000 0.5000 0.2500  8 Br 3.11